NaSmHg | Alexandria | GGA-PBE | relaxed; volume = 30.72 Å³/atom; total DFT energy (no corrections) = -2.244 eV per atom
1.0
3.720 0.000 0.000
0.000 3.720 0.000
0.000 0.000 13.321
Na Sm Hg
2 2 2
Direct
0.000 0.000 0.000
0.500 0.500 0.500
0.000 0.000 0.280
0.500 0.500 0.780
0.000 0.000 0.652
0.500 0.500 0.152